First-principles (PBE-GGA) data for a relaxed structure of LiTe2Mo, as listed in Alexandria.

Cell: 3.381 3.385 7.372 Å, 90.00 95.16 90.00°
Space group P2/m (No. 10)
Inequivalent atoms, fractional coordinates:
Li 0.000 0.000 0.000 (multiplicity 1)
Te 0.455 0.500 0.277 (multiplicity 2)
Mo 0.000 0.000 0.500 (multiplicity 1)

## Properties
V ... 84.0 Å³/cell
Energy above the most stable polymorph in this dataset ... 26.2 meV per atom
Formation energy (no corrections) ... -0.174 eV/atom
E_tot ... -4.93 eV per atom